Record 1
Density functional theory data (PBE-GGA) for a geometry-optimized LaNd5 structure.

Cell lengths 11.692, 5.236, 7.376 Å; angles 90.00, 108.39, 90.00 degrees
Sites, in units of the cell vectors:
La 0.000 0.000 0.000
La 0.500 0.500 0.000
Nd 0.000 0.000 0.500
Nd 0.166 0.500 0.832
Nd 0.168 0.500 0.334
Nd 0.332 0.000 0.666
Nd 0.334 0.000 0.168
Nd 0.500 0.500 0.500
Nd 0.666 0.000 0.832
Nd 0.668 0.000 0.334
Nd 0.832 0.500 0.666
Nd 0.834 0.500 0.168

***

Record 2
Density functional theory data (PBE-GGA) for a geometry-optimized La7Nd structure.

Cell lengths 7.465, 7.465, 7.465 Å; angles 60.00, 60.00, 60.00 degrees
Sites, in units of the cell vectors:
La 0.000 0.000 0.000
La 0.000 0.000 0.500
La 0.000 0.500 0.000
La 0.000 0.500 0.500
La 0.500 0.000 0.000
La 0.500 0.000 0.500
La 0.500 0.500 0.000
Nd 0.500 0.500 0.500

***

Record 3
Density functional theory data (PBE-GGA) for a geometry-optimized La5Nd7 structure.

Cell lengths 9.878, 9.878, 13.616 Å; angles 117.87, 117.87, 21.75 degrees
Sites, in units of the cell vectors:
La 0.000 0.000 0.000
La 0.166 0.166 0.498
La 0.307 0.307 0.250
La 0.693 0.693 0.750
La 0.834 0.834 0.502
Nd 0.027 0.027 0.750
Nd 0.334 0.334 0.002
Nd 0.360 0.360 0.751
Nd 0.500 0.500 0.500
Nd 0.640 0.640 0.249
Nd 0.666 0.666 0.998
Nd 0.973 0.973 0.250

***

Record 4
Density functional theory data (PBE-GGA) for a geometry-optimized La5Nd4 structure.

Cell lengths 9.491, 9.491, 9.491 Å; angles 92.23, 92.23, 157.22 degrees
Sites, in units of the cell vectors:
La 0.000 0.000 0.000
La 0.333 0.333 0.667
La 0.333 0.667 0.000
La 0.667 0.333 0.000
La 0.667 0.667 0.333
Nd 0.000 0.337 0.337
Nd 0.000 0.663 0.663
Nd 0.337 0.000 0.337
Nd 0.663 0.000 0.663

***

Record 5
Density functional theory data (PBE-GGA) for a geometry-optimized La4Nd3 structure.

Cell lengths 3.711, 5.254, 25.946 Å; angles 90.00, 90.00, 90.00 degrees
Sites, in units of the cell vectors:
La 0.000 0.000 0.071
La 0.000 0.000 0.214
La 0.000 0.000 0.786
La 0.000 0.000 0.929
La 0.500 0.500 0.286
La 0.500 0.500 0.429
La 0.500 0.500 0.571
La 0.500 0.500 0.714
Nd 0.000 0.000 0.357
Nd 0.000 0.000 0.500
Nd 0.000 0.000 0.643
Nd 0.500 0.500 0.000
Nd 0.500 0.500 0.143
Nd 0.500 0.500 0.857

***

Record 6
Density functional theory data (PBE-GGA) for a geometry-optimized La5Nd6 structure.

Cell lengths 9.699, 9.699, 9.699 Å; angles 145.36, 128.46, 63.60 degrees
Sites, in units of the cell vectors:
La 0.000 0.000 0.000
La 0.159 0.659 0.500
La 0.301 0.301 0.000
La 0.699 0.699 0.000
La 0.841 0.341 0.500
Nd 0.159 0.864 0.296
Nd 0.293 0.500 0.793
Nd 0.432 0.136 0.296
Nd 0.568 0.864 0.704
Nd 0.707 0.500 0.207
Nd 0.841 0.136 0.704

***

Record 7
Density functional theory data (PBE-GGA) for a geometry-optimized La3Nd4 structure.

Cell lengths 4.360, 4.360, 26.515 Å; angles 90.00, 90.00, 90.00 degrees
Sites, in units of the cell vectors:
La 0.000 0.000 0.000
La 0.000 0.000 0.288
La 0.000 0.000 0.712
La 0.500 0.500 0.212
La 0.500 0.500 0.500
La 0.500 0.500 0.788
Nd 0.000 0.000 0.141
Nd 0.000 0.000 0.427
Nd 0.000 0.000 0.573
Nd 0.000 0.000 0.859
Nd 0.500 0.500 0.073
Nd 0.500 0.500 0.359
Nd 0.500 0.500 0.641
Nd 0.500 0.500 0.927

***

Record 8
Density functional theory data (PBE-GGA) for a geometry-optimized La4Nd structure.

Cell lengths 5.945, 5.945, 5.945 Å; angles 90.00, 90.00, 90.00 degrees
Sites, in units of the cell vectors:
La 0.000 0.000 0.000
La 0.000 0.500 0.500
La 0.500 0.000 0.500
La 0.500 0.500 0.000
Nd 0.500 0.500 0.500

***

Record 9
Density functional theory data (PBE-GGA) for a geometry-optimized La3Nd2 structure.

Cell lengths 9.688, 9.688, 9.688 Å; angles 42.80, 42.80, 42.80 degrees
Sites, in units of the cell vectors:
La 0.245 0.750 0.255
La 0.250 0.745 0.755
La 0.255 0.245 0.750
La 0.745 0.755 0.250
La 0.750 0.255 0.245
La 0.755 0.250 0.745
Nd 0.191 0.191 0.191
Nd 0.309 0.309 0.309
Nd 0.691 0.691 0.691
Nd 0.809 0.809 0.809

***

Record 10
Density functional theory data (PBE-GGA) for a geometry-optimized LaNd structure.

Cell lengths 4.173, 4.173, 4.173 Å; angles 90.00, 90.00, 90.00 degrees
Sites, in units of the cell vectors:
La 0.000 0.000 0.000
Nd 0.500 0.500 0.500

***

Record 11
Density functional theory data (PBE-GGA) for a geometry-optimized LaNd4 structure.

Cell lengths 5.820, 5.820, 5.820 Å; angles 90.00, 90.00, 90.00 degrees
Sites, in units of the cell vectors:
La 0.000 0.000 0.000
Nd 0.000 0.000 0.500
Nd 0.000 0.500 0.000
Nd 0.500 0.000 0.000
Nd 0.500 0.500 0.500

***

Record 12
Density functional theory data (PBE-GGA) for a geometry-optimized LaNd8 structure.

Cell lengths 8.256, 8.256, 8.256 Å; angles 95.74, 95.74, 143.11 degrees
Sites, in units of the cell vectors:
La 0.000 0.000 0.000
Nd 0.000 0.334 0.334
Nd 0.000 0.666 0.666
Nd 0.333 0.333 0.665
Nd 0.333 0.667 0.000
Nd 0.334 0.000 0.334
Nd 0.666 0.000 0.666
Nd 0.667 0.333 0.000
Nd 0.667 0.667 0.335

***

Record 13
Density functional theory data (PBE-GGA) for a geometry-optimized La5Nd6 structure.

Cell lengths 8.903, 8.903, 8.203 Å; angles 90.00, 90.00, 141.53 degrees
Sites, in units of the cell vectors:
La 0.000 0.000 0.000
La 0.311 0.689 0.500
La 0.331 0.669 0.000
La 0.669 0.331 0.000
La 0.689 0.311 0.500
Nd 0.133 0.867 0.287
Nd 0.133 0.867 0.713
Nd 0.499 0.499 0.716
Nd 0.501 0.501 0.284
Nd 0.867 0.133 0.287
Nd 0.867 0.133 0.713

***

Record 14
Density functional theory data (PBE-GGA) for a geometry-optimized La6Nd7 structure.

Cell lengths 12.419, 12.419, 12.419 Å; angles 31.80, 31.80, 31.80 degrees
Sites, in units of the cell vectors:
La 0.048 0.048 0.048
La 0.152 0.152 0.152
La 0.337 0.337 0.337
La 0.663 0.663 0.663
La 0.848 0.848 0.848
La 0.952 0.952 0.952
Nd 0.076 0.590 0.590
Nd 0.410 0.410 0.924
Nd 0.410 0.924 0.410
Nd 0.500 0.500 0.500
Nd 0.590 0.076 0.590
Nd 0.590 0.590 0.076
Nd 0.924 0.410 0.410

***

Record 15
Density functional theory data (PBE-GGA) for a geometry-optimized La5Nd4 structure.

Cell lengths 9.825, 9.825, 9.825 Å; angles 158.21, 110.97, 73.35 degrees
Sites, in units of the cell vectors:
La 0.000 0.000 0.000
La 0.333 0.000 0.333
La 0.333 0.333 0.000
La 0.667 0.000 0.667
La 0.667 0.667 0.000
Nd 0.001 0.667 0.333
Nd 0.334 0.667 0.667
Nd 0.666 0.333 0.333
Nd 0.999 0.333 0.667

***

Record 16
Density functional theory data (PBE-GGA) for a geometry-optimized LaNd4 structure.

Cell lengths 8.269, 8.269, 5.231 Å; angles 90.00, 90.00, 90.00 degrees
Sites, in units of the cell vectors:
La 0.000 0.000 0.000
La 0.500 0.500 0.500
Nd 0.100 0.301 0.500
Nd 0.199 0.600 0.000
Nd 0.301 0.900 0.500
Nd 0.400 0.199 0.000
Nd 0.600 0.801 0.000
Nd 0.699 0.100 0.500
Nd 0.801 0.400 0.000
Nd 0.900 0.699 0.500

***

Record 17
Density functional theory data (PBE-GGA) for a geometry-optimized La3Nd4 structure.

Cell lengths 8.739, 8.739, 8.739 Å; angles 109.47, 109.47, 109.47 degrees
Sites, in units of the cell vectors:
La 0.125 0.875 0.250
La 0.250 0.125 0.875
La 0.375 0.625 0.750
La 0.625 0.750 0.375
La 0.750 0.375 0.625
La 0.875 0.250 0.125
Nd 0.000 0.158 0.500
Nd 0.000 0.658 0.500
Nd 0.158 0.500 0.000
Nd 0.342 0.342 0.342
Nd 0.500 0.000 0.158
Nd 0.500 0.000 0.658
Nd 0.658 0.500 0.000
Nd 0.842 0.842 0.842

***

Record 18
Density functional theory data (PBE-GGA) for a geometry-optimized La7Nd2 structure.

Cell lengths 10.193, 10.193, 3.673 Å; angles 90.00, 90.00, 120.00 degrees
Sites, in units of the cell vectors:
La 0.000 0.000 0.000
La 0.000 0.314 0.500
La 0.000 0.646 0.000
La 0.314 0.000 0.500
La 0.354 0.354 0.000
La 0.646 0.000 0.000
La 0.686 0.686 0.500
Nd 0.333 0.667 0.500
Nd 0.667 0.333 0.500

***

Record 19
Density functional theory data (PBE-GGA) for a geometry-optimized La5Nd7 structure.

Cell lengths 5.780, 5.780, 15.146 Å; angles 102.77, 102.77, 63.18 degrees
Sites, in units of the cell vectors:
La 0.000 0.000 0.000
La 0.128 0.128 0.437
La 0.374 0.374 0.201
La 0.626 0.626 0.799
La 0.872 0.872 0.563
Nd 0.036 0.036 0.215
Nd 0.249 0.249 0.672
Nd 0.322 0.322 0.916
Nd 0.500 0.500 0.500
Nd 0.678 0.678 0.084
Nd 0.751 0.751 0.328
Nd 0.964 0.964 0.785

***

Record 20
Density functional theory data (PBE-GGA) for a geometry-optimized La5NdNi2 structure.

Cell lengths 6.988, 6.988, 18.968 Å; angles 90.00, 90.00, 148.09 degrees
Sites, in units of the cell vectors:
La 0.062 0.938 0.596
La 0.062 0.938 0.904
La 0.333 0.667 0.560
La 0.333 0.667 0.940
La 0.402 0.598 0.250
La 0.598 0.402 0.750
La 0.667 0.333 0.060
La 0.667 0.333 0.440
La 0.938 0.062 0.096
La 0.938 0.062 0.404
Nd 0.323 0.677 0.750
Nd 0.677 0.323 0.250
Ni 0.277 0.723 0.134
Ni 0.277 0.723 0.366
Ni 0.723 0.277 0.634
Ni 0.723 0.277 0.866

***

Record 21
Density functional theory data (PBE-GGA) for a geometry-optimized LaNdNi3 structure.

Cell lengths 12.764, 12.764, 4.088 Å; angles 90.00, 90.00, 162.17 degrees
Sites, in units of the cell vectors:
La 0.198 0.802 0.750
La 0.802 0.198 0.250
Nd 0.068 0.932 0.250
Nd 0.932 0.068 0.750
Ni 0.330 0.670 0.750
Ni 0.384 0.616 0.250
Ni 0.477 0.523 0.250
Ni 0.523 0.477 0.750
Ni 0.616 0.384 0.750
Ni 0.670 0.330 0.250

***

Record 22
Density functional theory data (PBE-GGA) for a geometry-optimized LaNdNi4 structure.

Cell lengths 3.948, 4.084, 7.053 Å; angles 90.00, 90.00, 90.00 degrees
Sites, in units of the cell vectors:
La 0.000 0.000 0.000
Nd 0.000 0.500 0.500
Ni 0.500 0.000 0.334
Ni 0.500 0.000 0.666
Ni 0.500 0.500 0.168
Ni 0.500 0.500 0.832

***

Record 23
Density functional theory data (PBE-GGA) for a geometry-optimized LaNdNi structure.

Cell lengths 3.986, 3.986, 6.565 Å; angles 90.00, 90.00, 120.00 degrees
Sites, in units of the cell vectors:
La 0.000 0.000 0.000
Nd 0.333 0.667 0.493
Ni 0.667 0.333 0.245

***

| no. | E_form (eV/f.u.) |
| --- | --- |
| 1 | 0.09 |
| 2 | 0.09 |
| 3 | 0.06 |
| 4 | 0.88 |
| 5 | 0.08 |
| 6 | 1.04 |
| 7 | 0.72 |
| 8 | 2.53 |
| 9 | 1.16 |
| 10 | 0.24 |
| 11 | 2.88 |
| 12 | 0.12 |
| 13 | 1.30 |
| 14 | 2.57 |
| 15 | 0.14 |
| 16 | 0.09 |
| 17 | 1.73 |
| 18 | 0.25 |
| 19 | 1.70 |
| 20 | -0.81 |
| 21 | -1.59 |
| 22 | -1.89 |
| 23 | -0.38 |